Material: DyMg2PaN4
Method: DFT, PBE
State: relaxed

The value obtained for the energy relative to the elements, uncorrected is -1.29 eV/atom. For the total magnetization, the calculation gives 0.000 μB per atom. As for the symmetry: P2/m (10). As for the total energy: -7.62 eV per atom.

Cell: 3.474 5.557 5.897 Å, 70.47 90.00 90.00°
Positions (direct):
Dy (0.500, 0.500, 0.000)
Mg (0.000, 0.000, 0.000)
Mg (0.500, 0.000, 0.500)
Pa (0.000, 0.500, 0.500)
N (0.000, 0.740, 0.742)
N (0.000, 0.260, 0.258)
N (0.500, 0.742, 0.264)
N (0.500, 0.258, 0.736)

---

Material: Dy3MgPa3N8
Method: DFT, PBE
State: relaxed

The value obtained for the energy relative to the elements, uncorrected is -1.39 eV/atom. For the total magnetization, the calculation gives 0.000 μB per atom. As for the symmetry: R-3m (166). As for the total energy: -8.76 eV per atom.

Cell: 6.863 6.864 6.861 Å, 120.01 90.00 120.00°
Positions (direct):
Dy (0.000, 0.000, 0.000)
Dy (0.000, 0.500, 0.000)
Dy (0.500, 0.500, 0.000)
Mg (0.000, 0.000, 0.500)
Pa (0.500, 0.000, 0.500)
Pa (0.500, 0.500, 0.500)
Pa (0.000, 0.500, 0.500)
N (0.250, 0.500, 0.251)
N (0.750, 0.500, 0.749)
N (0.763, 0.526, 0.283)
N (0.237, 0.474, 0.717)
N (0.763, 0.021, 0.283)
N (0.237, 0.979, 0.717)
N (0.258, 0.021, 0.283)
N (0.742, 0.979, 0.717)

---

What did the second record say?
Material: Dy3MgPa3N8
Method: DFT, PBE
State: relaxed

The value obtained for the energy relative to the elements, uncorrected is -1.39 eV/atom. For the total magnetization, the calculation gives 0.000 μB per atom. As for the symmetry: R-3m (166). As for the total energy: -8.76 eV per atom.

Cell: 6.863 6.864 6.861 Å, 120.01 90.00 120.00°
Positions (direct):
Dy (0.000, 0.000, 0.000)
Dy (0.000, 0.500, 0.000)
Dy (0.500, 0.500, 0.000)
Mg (0.000, 0.000, 0.500)
Pa (0.500, 0.000, 0.500)
Pa (0.500, 0.500, 0.500)
Pa (0.000, 0.500, 0.500)
N (0.250, 0.500, 0.251)
N (0.750, 0.500, 0.749)
N (0.763, 0.526, 0.283)
N (0.237, 0.474, 0.717)
N (0.763, 0.021, 0.283)
N (0.237, 0.979, 0.717)
N (0.258, 0.021, 0.283)
N (0.742, 0.979, 0.717)

---

Question: Which of these has the highest total energy?
Answer: DyMg2PaN4

---

Question: The lowest total energy belongs to which entry?
Answer: Dy3MgPa3N8